DFT (meta-GGA SCAN) results for a crystal of HgBPt3 relaxed with PBEsol.

As for the total magnetization: 0.00 μB/f.u. Its raw total energy is -1724.0 eV for the cell shown. The value obtained for the theoretical density is 17.8 g/cm3. For the formation enthalpy at 0 K, the calculation gives -22.3 kJ per mole of atoms.

The space group is R-3m (No. 166, hexagonal axes) and the conventional cell measures 5.6751, 5.6751 and 15.9961 Å, with angles of 90.00, 90.00 and 120.00 degrees. Symmetry generates all atoms from Hg at (0.0000, 0.0000, 0.0961), B at (0.0000, 0.0000, 0.3318) and Pt at (0.0046, 0.5023, 0.0882).



DFT (meta-GGA SCAN) results for a crystal of HgB2Pt2 relaxed with PBEsol.

As for the total magnetization: 0.00 μB/f.u. Its raw total energy is -448.5 eV for the cell shown. The value obtained for the theoretical density is 15.3 g/cm3. For the formation enthalpy at 0 K, the calculation gives -16.4 kJ per mole of atoms.

The space group is I4/mmm (No. 139) and the conventional cell measures 3.167, 3.167 and 13.255 Å, with angles of 90.00, 90.00 and 90.00 degrees. Symmetry generates all atoms from Hg at (0.000, 0.000, 0.000), B at (0.000, 0.500, 0.250) and Pt at (0.000, 0.000, 0.356).